Compound: Gd3Si5
Source: OQMD via LeMat-Bulk
Functional: GGA-PBE
Structure: relaxed

Output
electronic total energy	-5.8213	eV per atom

a b c (Å): 6.6591 6.6591 4.2131
angles (deg): 90.00 90.00 120.00
Space group P-62m (No. 189)
Inequivalent atoms, fractional coordinates:
Gd (0.0000, 0.6494, 0.0000) [3 per cell]
Si (0.0000, 0.2793, 0.5000) [3 per cell]
Si (0.3333, 0.6667, 0.5000) [2 per cell]

***

Compound: Hf2ScAg
Source: OQMD via LeMat-Bulk
Functional: GGA-PBE
Structure: relaxed

Output
energy relative to the elements	0.189	eV per atom
electronic total energy	-7.0769	eV per atom

a b c (Å): 6.9239 6.9239 6.9239
angles (deg): 90.00 90.00 90.00
Space group F-43m (No. 216)
Inequivalent atoms, fractional coordinates:
Hf (0.0000, 0.0000, 0.0000) [4 per cell]
Hf (0.2500, 0.2500, 0.2500) [4 per cell]
Sc (0.0000, 0.0000, 0.5000) [4 per cell]
Ag (0.2500, 0.2500, 0.7500) [4 per cell]

***

Compound: Tb2YSn4Pb3
Source: OQMD via LeMat-Bulk
Functional: GGA-PBE
Structure: relaxed

Output
polymorph energy (0 for the lowest one)	0	kJ/mol of formula units
electronic total energy	-4.7450	eV per atom

a b c (Å): 4.4405 26.6795 4.5753
angles (deg): 90.00 90.00 90.00
Space group Cmmm (No. 65)
Inequivalent atoms, fractional coordinates:
Tb (0.0000, 0.1913, 0.0000) [4 per cell]
Y (0.0000, 0.5000, 0.5000) [2 per cell]
Sn (0.0000, 0.2884, 0.5000) [4 per cell]
Sn (0.0000, 0.4029, 0.0000) [4 per cell]
Pb (0.0000, 0.0000, 0.0000) [2 per cell]
Pb (0.0000, 0.0991, 0.5000) [4 per cell]

***

Compound: LiMg2In2AgPd2
Source: OQMD via LeMat-Bulk
Functional: GGA-PBE
Structure: relaxed

Output
electronic total energy	-3.4338	eV per atom

a b c (Å): 4.6348 4.6348 6.6031
angles (deg): 90.00 90.00 90.00
Space group P-4m2 (No. 115)
Inequivalent atoms, fractional coordinates:
Li (0.0000, 0.0000, 0.0000) [1 per cell]
Mg (0.0000, 0.5000, 0.7491) [2 per cell]
In (0.0000, 0.5000, 0.2429) [2 per cell]
Ag (0.5000, 0.5000, 0.5000) [1 per cell]
Pd (0.0000, 0.0000, 0.5000) [1 per cell]
Pd (0.5000, 0.5000, 0.0000) [1 per cell]

***

Compound: Sc2Au2O5
Source: OQMD via LeMat-Bulk
Functional: GGA-PBE
Structure: relaxed

Output
polymorph energy (0 for the lowest one)	0	kJ/mol of formula units
electronic total energy	-6.3906	eV per atom

a b c (Å): 3.8289 3.8289 8.2019
angles (deg): 90.00 90.00 90.00
Space group P4/mmm (No. 123)
Inequivalent atoms, fractional coordinates:
Sc (0.0000, 0.0000, 0.2455) [2 per cell]
Au (0.5000, 0.5000, 0.0000) [1 per cell]
Au (0.5000, 0.5000, 0.5000) [1 per cell]
O (0.0000, 0.0000, 0.0000) [1 per cell]
O (0.0000, 0.5000, 0.3347) [4 per cell]

***

Compound: TbGdSi2
Source: OQMD via LeMat-Bulk
Functional: GGA-PBE
Structure: relaxed

Output
electronic total energy	-5.8610	eV per atom

a b c (Å): 3.8548 7.9825 5.7433
angles (deg): 90.00 90.00 90.00
Space group Pmn2_1 (No. 31)
Inequivalent atoms, fractional coordinates:
Tb (0.0000, 0.0705, 0.0000) [2 per cell]
Gd (0.0000, 0.5709, 0.7298) [2 per cell]
Si (0.0000, 0.2117, 0.4877) [2 per cell]
Si (0.0000, 0.7133, 0.2428) [2 per cell]

***

Compound: TlCuGeTe2Se
Source: OQMD via LeMat-Bulk
Functional: GGA-PBE
Structure: relaxed

Output
electronic total energy	-3.5021	eV per atom

a b c (Å): 3.8200 15.1920 10.9807
angles (deg): 90.00 90.00 90.00
Space group Cmcm (No. 63)
Inequivalent atoms, fractional coordinates:
Tl (0.0000, 0.2352, 0.2500) [4 per cell]
Cu (0.0000, 0.0423, 0.7500) [4 per cell]
Ge (0.0000, 0.5000, 0.0000) [4 per cell]
Te (0.0000, 0.1359, 0.5486) [8 per cell]
Se (0.0000, 0.4468, 0.7500) [4 per cell]

***

Compound: AcSc
Source: OQMD via LeMat-Bulk
Functional: GGA-PBE
Structure: relaxed

Output
polymorph energy (0 for the lowest one)	0	kJ/mol of formula units
energy relative to the elements	0.227	eV per atom
electronic total energy	-4.9906	eV per atom

a b c (Å): 3.6512 3.6512 5.6563
angles (deg): 90.00 90.00 120.00
Space group P-6m2 (No. 187)
Inequivalent atoms, fractional coordinates:
Ac (0.0000, 0.0000, 0.0000) [1 per cell]
Sc (0.6667, 0.3333, 0.5000) [1 per cell]